Entry 1:
# InSiPO2 (PBE, optimized geometry)
# Offset from the most stable computed form in eV/atom: 0.0000
# Uncorrected energy in eV/atom: -5.656
# Formation energy (no corrections) in eV/atom: -0.96
# M_tot in μB/f.u.: 0.0
# Space-group type: P4/mmm, No. 123
data_InSiPO2
_cell_length_a 3.590
_cell_length_b 3.590
_cell_length_c 5.054
_cell_angle_alpha 90.00
_cell_angle_beta 90.00
_cell_angle_gamma 90.00
_symmetry_space_group_name_H-M 'P 1'
_symmetry_Int_Tables_number 1
loop_
_symmetry_equiv_pos_as_xyz
'x,y,z'
loop_
_atom_site_label
_atom_site_type_symbol
_atom_site_fract_x
_atom_site_fract_y
_atom_site_fract_z
P1 P 0.000 0.000 0.500
Si1 Si 0.000 0.000 0.000
O1 O 0.000 0.500 0.000
O2 O 0.500 0.000 0.000
In1 In 0.500 0.500 0.500

***

Entry 2:
# Cs2RbAgAu (PBE, optimized geometry)
# Offset from the most stable computed form in eV/atom: 0.0168
# Uncorrected energy in eV/atom: -1.756
# ΔH_f (0 K) in kJ/mol of formula units: 2.3
# M_tot in μB/f.u.: 0.0
# Space-group type: P4/mmm, No. 123
data_Cs2RbAgAu
_cell_length_a 6.856
_cell_length_b 6.856
_cell_length_c 6.647
_cell_angle_alpha 90.00
_cell_angle_beta 90.00
_cell_angle_gamma 90.00
_symmetry_space_group_name_H-M 'P 1'
_symmetry_Int_Tables_number 1
loop_
_symmetry_equiv_pos_as_xyz
'x,y,z'
loop_
_atom_site_label
_atom_site_type_symbol
_atom_site_fract_x
_atom_site_fract_y
_atom_site_fract_z
Cs1 Cs 0.000 0.500 0.000
Cs2 Cs 0.500 0.000 0.000
Au1 Au 0.000 0.000 0.000
Rb1 Rb 0.000 0.000 0.500
Ag1 Ag 0.500 0.500 0.500

***

Entry 3:
# Ba2Hg2Te (PBE, optimized geometry)
# Offset from the most stable computed form in eV/atom: 0.0431
# Uncorrected energy in eV/atom: -2.228
# Formation energy (no corrections) in eV/atom: -0.71
# M_tot in μB/f.u.: 0.0
# Space-group type: P4/mbm, No. 127
data_Ba2Hg2Te
_cell_length_a 9.320
_cell_length_b 9.320
_cell_length_c 4.951
_cell_angle_alpha 90.00
_cell_angle_beta 90.00
_cell_angle_gamma 90.00
_symmetry_space_group_name_H-M 'P 1'
_symmetry_Int_Tables_number 1
loop_
_symmetry_equiv_pos_as_xyz
'x,y,z'
loop_
_atom_site_label
_atom_site_type_symbol
_atom_site_fract_x
_atom_site_fract_y
_atom_site_fract_z
Te1 Te 0.000 0.000 0.000
Te2 Te 0.500 0.500 0.000
Hg1 Hg 0.114 0.614 0.500
Hg2 Hg 0.614 0.886 0.500
Hg3 Hg 0.886 0.386 0.500
Hg4 Hg 0.386 0.114 0.500
Ba1 Ba 0.312 0.812 0.000
Ba2 Ba 0.812 0.688 0.000
Ba3 Ba 0.688 0.188 0.000
Ba4 Ba 0.188 0.312 0.000